The following is a DFT calculation (PBE-GGA) of a geometry-optimized Tm5Ir4Au structure.

Summary:
Size of the total moment, μB per formula unit: 0.24
DOS at the Fermi energy, states/eV per cell: 8.8
Calculated total energy, eV per atom: -7.0160

Lattice parameters (Å, degrees): 3.3782 3.3782 17.4969 90.00 90.00 90.00
Element x y z (fractional)
Tm 0.0000 0.0000 0.0000
Tm 0.0000 0.0000 0.1944
Tm 0.0000 0.0000 0.3879
Tm 0.0000 0.0000 0.6121
Tm 0.0000 0.0000 0.8056
Ir 0.5000 0.5000 0.0975
Ir 0.5000 0.5000 0.2938
Ir 0.5000 0.5000 0.7062
Ir 0.5000 0.5000 0.9025
Au 0.5000 0.5000 0.5000



The following is a DFT calculation (PBE-GGA) of a geometry-optimized Tl6Pd3Au structure.

Summary:
Size of the total moment, μB per formula unit: 0.00
DOS at the Fermi energy, states/eV per cell: 6.9
Calculated total energy, eV per atom: -3.3707

Lattice parameters (Å, degrees): 11.7305 3.7185 12.1210 90.00 112.98 90.00
Element x y z (fractional)
Tl 0.0010 0.2500 0.1340
Tl 0.1514 0.7500 0.4326
Tl 0.1892 0.2500 0.7739
Tl 0.3032 0.2500 0.2658
Tl 0.3772 0.7500 0.0453
Tl 0.4093 0.2500 0.6336
Tl 0.5907 0.7500 0.3664
Tl 0.6228 0.2500 0.9547
Tl 0.6968 0.7500 0.7342
Tl 0.8108 0.7500 0.2261
Tl 0.8486 0.2500 0.5674
Tl 0.9990 0.7500 0.8660
Pd 0.0373 0.7500 0.6016
Pd 0.1794 0.2500 0.0166
Pd 0.3960 0.7500 0.4541
Pd 0.6040 0.2500 0.5459
Pd 0.8206 0.7500 0.9834
Pd 0.9627 0.2500 0.3984
Au 0.4080 0.7500 0.8183
Au 0.5920 0.2500 0.1817



The following is a DFT calculation (PBE-GGA) of a geometry-optimized MnCdTc2 structure.

Summary:
Size of the total moment, μB per formula unit: 0.57
DOS at the Fermi energy, states/eV per cell: 3.7
Calculated total energy, eV per atom: -7.4205

Lattice parameters (Å, degrees): 9.2519 9.2519 9.2519 17.13 17.13 17.13
Element x y z (fractional)
Mn 0.0000 0.0000 0.0000
Cd 0.5000 0.5000 0.5000
Tc 0.2601 0.2601 0.2601
Tc 0.7399 0.7399 0.7399



The following is a DFT calculation (PBE-GGA) of a geometry-optimized LaTi2HgN structure.

Summary:
Size of the total moment, μB per formula unit: 5.28
Raw formation energy, eV per atom: 1.32
DOS at the Fermi energy, states/eV per cell: 5.1

Lattice parameters (Å, degrees): 5.2784 5.2784 4.4094 90.00 90.00 90.00
Element x y z (fractional)
La 0.0000 0.0000 0.0000
Ti 0.0000 0.5000 0.5000
Ti 0.5000 0.0000 0.5000
Hg 0.5000 0.5000 0.5000
N 0.5000 0.5000 0.0000



The following is a DFT calculation (PBE-GGA) of a geometry-optimized TaCu2 structure.

Summary:
Size of the total moment, μB per formula unit: 0.00
DOS at the Fermi energy, states/eV per cell: 12.9
Calculated total energy, eV per atom: -6.4570

Lattice parameters (Å, degrees): 11.9671 11.9671 11.9671 161.55 161.55 26.21
Element x y z (fractional)
Ta 0.2919 0.5419 0.7500
Ta 0.4581 0.7081 0.7500
Ta 0.5419 0.2919 0.2500
Ta 0.7081 0.4581 0.2500
Cu 0.0463 0.7963 0.2500
Cu 0.1254 0.3754 0.7500
Cu 0.2037 0.9537 0.2500
Cu 0.3754 0.1254 0.2500
Cu 0.6246 0.8746 0.7500
Cu 0.7963 0.0463 0.7500
Cu 0.8746 0.6246 0.2500
Cu 0.9537 0.2037 0.7500



The following is a DFT calculation (PBE-GGA) of a geometry-optimized PrEr2Zn structure.

Summary:
Size of the total moment, μB per formula unit: 0.00
Distance to the lowest polymorph of the same formula, eV per atom: 0.0898
DOS at the Fermi energy, states/eV per cell: 3.0

Lattice parameters (Å, degrees): 10.5345 10.5345 10.5345 19.57 19.57 19.57
Element x y z (fractional)
Pr 0.0000 0.0000 0.0000
Er 0.2375 0.2375 0.2375
Er 0.7625 0.7625 0.7625
Zn 0.5000 0.5000 0.5000